1.
Computed, not measured: a relaxed ErCoAg crystal at the PBE level of DFT.

## Properties
Calculated volume in Å³ per atom: 19.32
Magnetization in μB/f.u.: 0.61
Mass density in g cm⁻³: 9.57
Energy of formation in eV per formula unit: -0.45
E in eV/atom: -4.992

abc: 12.5172 3.8814 4.8679
angles: 90.00 101.42 90.00
Closest atoms and distances in Å follow each position.
Space group C2/m (No. 12)
Symmetry-distinct sites (fractional):
Er1 0.1280 0.0000 0.3298 (multiplicity 4)  4 Co 2.70-2.96
Co1 0.2314 0.0000 0.8918 (multiplicity 4)  2 Co 2.21
Ag1 0.0724 0.5000 0.7808 (multiplicity 4)  3 Co 2.65-2.76, 1 Ag 2.97

2.
Computed, not measured: a relaxed TePbIN2 crystal at the PBE level of DFT.

## Properties
Calculated volume in Å³ per atom: 27.06
Magnetization in μB/f.u.: 2.97
Mass density in g cm⁻³: 6.01
Distance to the lowest polymorph of the same formula in meV/atom: 173
E in eV/atom: -3.469

abc: 4.5297 4.5297 6.5950
angles: 90.00 90.00 90.00
Closest atoms and distances in Å follow each position.
Space group P4/mmm (No. 123)
Symmetry-distinct sites (fractional):
Te1 0.0000 0.0000 0.0000 (multiplicity 1)  4 I 3.20, 2 Pb 3.30
Pb1 0.0000 0.0000 0.5000 (multiplicity 1)  4 N 2.26
I1 0.5000 0.5000 0.0000 (multiplicity 1)  4 Te 3.20
N1 0.0000 0.5000 0.5000 (multiplicity 2)  2 Pb 2.26

3.
Computed, not measured: a relaxed Sc2Si2Se crystal at the PBE level of DFT.

## Properties
Calculated volume in Å³ per atom: 19.86
Magnetization in μB/f.u.: 0.00
Mass density in g cm⁻³: 3.76
Distance to the lowest polymorph of the same formula in meV/atom: 83
E in eV/atom: -6.179

abc: 7.1679 7.1679 3.8657
angles: 90.00 90.00 90.00
Closest atoms and distances in Å follow each position.
Space group P4/mbm (No. 127)
Symmetry-distinct sites (fractional):
Sc1 0.1819 0.3181 0.0000 (multiplicity 4)  2 Se 2.63, 6 Si 2.84-2.90
Si1 0.1125 0.6125 0.5000 (multiplicity 4)  1 Si 2.28
Se1 0.0000 0.0000 0.0000 (multiplicity 2)  4 Sc 2.63

4.
Computed, not measured: a relaxed Th2NpZn crystal at the PBE level of DFT.

## Properties
Calculated volume in Å³ per atom: 30.33
Magnetization in μB/f.u.: 0.00
Mass density in g cm⁻³: 10.49
Energy of formation in eV per formula unit: 3.79
Distance to the lowest polymorph of the same formula in meV/atom: 827
E in eV/atom: -6.315

abc: 3.8208 3.8208 28.7899
angles: 90.00 90.00 120.00
Closest atoms and distances in Å follow each position.
Space group R-3m (No. 166, hexagonal axes)
Symmetry-distinct sites (fractional):
Th1 0.0000 0.0000 0.1090 (multiplicity 6)  3 Np 2.76
Np1 0.0000 0.0000 0.5000 (multiplicity 3)  6 Th 2.76
Zn1 0.0000 0.0000 0.0000 (multiplicity 3)  2 Th 3.14

5.
Computed, not measured: a relaxed Pr2Nd3Ho crystal at the PBE level of DFT.

## Properties
Calculated volume in Å³ per atom: 34.70
Magnetization in μB/f.u.: 0.00
Mass density in g cm⁻³: 7.01
Energy of formation in eV per formula unit: 0.34
Distance to the lowest polymorph of the same formula in meV/atom: 0
E in eV/atom: -4.683

abc: 9.1847 10.0689 9.1913
angles: 90.00 101.54 90.00
Closest atoms and distances in Å follow each position.
Space group C2/c (No. 15)
Symmetry-distinct sites (fractional):
Pr1 0.1256 0.2461 0.1236 (multiplicity 8)  2 Pr 3.53-3.59, 3 Ho 3.76-3.81, 9 Nd 3.77-3.86
Nd1 0.0000 0.4149 0.7500 (multiplicity 4)  1 Ho 3.35, 4 Nd 3.35-3.55
Nd2 0.2476 0.4164 0.4993 (multiplicity 8)  3 Nd 3.35-3.55, 2 Ho 3.37-3.57
Ho1 0.0000 0.0827 0.7500 (multiplicity 4)  5 Nd 3.35-3.57

6.
Computed, not measured: a relaxed LaPrUN4 crystal at the PBE level of DFT.

## Properties
Calculated volume in Å³ per atom: 16.67
Magnetization in μB/f.u.: 0.00
Mass density in g cm⁻³: 8.17
E in eV/atom: -9.075

abc: 6.0115 12.9102 6.0146
angles: 90.00 90.00 90.00
Closest atoms and distances in Å follow each position.
Space group Cmcm (No. 63)
Symmetry-distinct sites (fractional):
La1 0.0000 0.0999 0.2500 (multiplicity 4)  1 N 2.31
Pr1 0.0000 0.3981 0.2500 (multiplicity 4)  1 N 2.33
U1 0.0000 0.2505 0.7500 (multiplicity 4)  6 N 2.13-2.22
N1 0.0000 0.0787 0.7500 (multiplicity 4)  1 U 2.22, 1 La 2.31
N2 0.0000 0.4216 0.7500 (multiplicity 4)  1 U 2.21, 1 Pr 2.33
N3 0.2500 0.2500 0.0000 (multiplicity 8)  2 U 2.13

7.
Computed, not measured: a relaxed TaTi2TcN crystal at the PBE level of DFT.

## Properties
Calculated volume in Å³ per atom: 14.24
Magnetization in μB/f.u.: 0.00
Mass density in g cm⁻³: 9.06
E in eV/atom: -9.948

abc: 4.0448 4.0448 4.3525
angles: 90.00 90.00 90.00
Closest atoms and distances in Å follow each position.
Space group P4/mmm (No. 123)
Symmetry-distinct sites (fractional):
Ta1 0.0000 0.0000 0.0000 (multiplicity 1)  2 N 2.18
Ti1 0.0000 0.5000 0.5000 (multiplicity 2)  2 N 2.02
Tc1 0.5000 0.5000 0.0000 (multiplicity 1)  4 Ta 2.86, 8 Ti 2.97
N1 0.0000 0.0000 0.5000 (multiplicity 1)  4 Ti 2.02, 2 Ta 2.18

8.
Computed, not measured: a relaxed PuTc4Ge4 crystal at the PBE level of DFT.

## Properties
Calculated volume in Å³ per atom: 17.57
Magnetization in μB/f.u.: 3.97
Mass density in g cm⁻³: 9.73
Energy of formation in eV per formula unit: -0.34
E in eV/atom: -8.289

abc: 6.2183 6.2183 8.1780
angles: 90.00 90.00 90.00
Closest atoms and distances in Å follow each position.
Space group P4_2/nmc (No. 137, origin choice 2)
Symmetry-distinct sites (fractional):
Pu1 0.2500 0.7500 0.2500 (multiplicity 2)  4 Ge 3.22, 4 Tc 3.44
Tc1 0.0021 0.7500 0.6260 (multiplicity 8)  5 Ge 2.46-2.58
Ge1 0.0490 0.2500 0.0720 (multiplicity 8)  5 Tc 2.46-2.58, 1 Ge 2.50

9.
Computed, not measured: a relaxed MoSe crystal at the PBE level of DFT.

## Properties
Calculated volume in Å³ per atom: 19.55
Magnetization in μB/f.u.: 0.00
Mass density in g cm⁻³: 7.43
Distance to the lowest polymorph of the same formula in meV/atom: 389
E in eV/atom: -7.048

abc: 4.3805 4.3805 14.1170
angles: 90.00 90.00 120.00
Closest atoms and distances in Å follow each position.
Space group P-3m1 (No. 164)
Symmetry-distinct sites (fractional):
Mo1 0.0000 0.0000 0.2008 (multiplicity 2)  7 Se 2.59-2.86, 3 Mo 2.85
Mo2 0.3333 0.6667 0.2944 (multiplicity 2)  1 Mo 2.51, 4 Se 2.64-2.66
Mo3 0.3333 0.6667 0.4720 (multiplicity 2)  4 Mo 2.51-2.65, 3 Se 2.79
Se1 0.0000 0.0000 0.3888 (multiplicity 2)  7 Mo 2.65-2.86
Se2 0.3333 0.6667 0.1060 (multiplicity 2)  4 Mo 2.66-2.86
Se3 0.3333 0.6667 0.7595 (multiplicity 2)  6 Mo 2.59-2.64

10.
Computed, not measured: a relaxed SmTmRuPt crystal at the PBE level of DFT.

## Properties
Calculated volume in Å³ per atom: 20.69
Magnetization in μB/f.u.: 0.00
Mass density in g cm⁻³: 12.35
Energy of formation in eV per formula unit: -2.96
Distance to the lowest polymorph of the same formula in meV/atom: 54
E in eV/atom: -6.866

abc: 6.9171 6.9171 6.9171
angles: 90.00 90.00 90.00
Closest atoms and distances in Å follow each position.
Space group F-43m (No. 216)
Symmetry-distinct sites (fractional):
Sm1 0.0000 0.0000 0.0000 (multiplicity 4)  4 Ru 3.00, 4 Pt 3.00
Tm1 0.0000 0.0000 0.5000 (multiplicity 4)  4 Pt 3.00, 4 Ru 3.00
Ru1 0.2500 0.2500 0.2500 (multiplicity 4)  4 Tm 3.00, 4 Sm 3.00
Pt1 0.2500 0.2500 0.7500 (multiplicity 4)  4 Tm 3.00, 4 Sm 3.00

11.
Computed, not measured: a relaxed CaTc2P crystal at the PBE level of DFT.

## Properties
Calculated volume in Å³ per atom: 16.74
Magnetization in μB/f.u.: 0.00
Mass density in g cm⁻³: 6.62
Energy of formation in eV per formula unit: 1.51
E in eV/atom: -6.658

abc: 3.7791 3.7791 9.3791
angles: 90.00 90.00 90.00
Closest atoms and distances in Å follow each position.
Space group I4/mmm (No. 139)
Symmetry-distinct sites (fractional):
Ca1 0.0000 0.0000 0.0000 (multiplicity 2)  4 P 2.67
Tc1 0.0000 0.5000 0.2500 (multiplicity 4)  4 Tc 2.67
P1 0.0000 0.0000 0.5000 (multiplicity 2)  4 Ca 2.67

12.
Computed, not measured: a relaxed KCdCo3 crystal at the PBE level of DFT.

## Properties
Calculated volume in Å³ per atom: 24.50
Magnetization in μB/f.u.: 5.62
Mass density in g cm⁻³: 4.45
Energy of formation in eV per formula unit: 7.34
Distance to the lowest polymorph of the same formula in meV/atom: 0
E in eV/atom: -3.198

abc: 4.9664 4.9664 4.9664
angles: 90.00 90.00 90.00
Closest atoms and distances in Å follow each position.
Space group Pm-3m (No. 221)
Symmetry-distinct sites (fractional):
K1 0.0000 0.0000 0.0000 (multiplicity 1)  12 Co 3.51
Cd1 0.5000 0.5000 0.5000 (multiplicity 1)  6 Co 2.48
Co1 0.0000 0.5000 0.5000 (multiplicity 3)  2 Cd 2.48

- Which of these has the highest E?
  KCdCo3

Copy entry 1 word for word.
Computed, not measured: a relaxed ErCoAg crystal at the PBE level of DFT.

## Properties
Calculated volume in Å³ per atom: 19.32
Magnetization in μB/f.u.: 0.61
Mass density in g cm⁻³: 9.57
Energy of formation in eV per formula unit: -0.45
E in eV/atom: -4.992

abc: 12.5172 3.8814 4.8679
angles: 90.00 101.42 90.00
Closest atoms and distances in Å follow each position.
Space group C2/m (No. 12)
Symmetry-distinct sites (fractional):
Er1 0.1280 0.0000 0.3298 (multiplicity 4)  4 Co 2.70-2.96
Co1 0.2314 0.0000 0.8918 (multiplicity 4)  2 Co 2.21
Ag1 0.0724 0.5000 0.7808 (multiplicity 4)  3 Co 2.65-2.76, 1 Ag 2.97

- Number 6 is which compound?
  LaPrUN4